Below is a relaxed LiY2P crystal, with properties calculated at the PBE level.

Structure (POSCAR):
```
LiY2P
1.0
7.061 0.000 0.000
0.000 7.061 0.000
0.000 0.000 7.061
Li Y P
4 8 4
direct
0.000 0.000 0.000 Li
0.000 0.500 0.500 Li
0.500 0.000 0.500 Li
0.500 0.500 0.000 Li
0.000 0.000 0.500 Y
0.000 0.500 0.000 Y
0.250 0.250 0.250 Y
0.250 0.750 0.750 Y
0.500 0.000 0.000 Y
0.500 0.500 0.500 Y
0.750 0.250 0.750 Y
0.750 0.750 0.250 Y
0.250 0.250 0.750 P
0.250 0.750 0.250 P
0.750 0.250 0.250 P
0.750 0.750 0.750 P
```

## Properties
Crystal system: cubic
Magnetic moment, μB per formula unit: 1.7
Calculated volume, Å³ per atom: 22.0
Space-group type: No. 216
Total energy, eV/atom: -4.949

=====

Below is a relaxed LiY2P crystal, with properties calculated at the PBE level.

Structure (POSCAR):
```
LiY2P
1.0
7.793 0.000 0.000
0.000 7.793 0.000
0.000 0.000 6.905
Li Y P
4 8 4
direct
0.000 0.000 0.000 Li
0.000 0.500 0.250 Li
0.500 0.000 0.750 Li
0.500 0.500 0.500 Li
0.213 0.250 0.625 Y
0.250 0.713 0.875 Y
0.250 0.787 0.375 Y
0.287 0.250 0.125 Y
0.713 0.750 0.125 Y
0.750 0.213 0.375 Y
0.750 0.287 0.875 Y
0.787 0.750 0.625 Y
0.000 0.000 0.500 P
0.000 0.500 0.750 P
0.500 0.000 0.250 P
0.500 0.500 0.000 P
```

## Properties
Crystal system: tetragonal
Magnetic moment, μB per formula unit: 0.0
Calculated volume, Å³ per atom: 26.2
Space-group type: No. 122
Total energy, eV/atom: -5.409

=====

Below is a relaxed Li4YP crystal, with properties calculated at the PBE level.

Structure (POSCAR):
```
Li4YP
1.0
5.479 0.000 0.000
0.000 7.824 0.000
-4.489 0.000 5.391
Li Y P
8 2 2
direct
0.002 0.189 0.059 Li
0.002 0.811 0.559 Li
0.363 0.141 0.931 Li
0.363 0.859 0.431 Li
0.637 0.141 0.569 Li
0.637 0.859 0.069 Li
0.998 0.189 0.441 Li
0.998 0.811 0.941 Li
0.500 0.500 0.250 Y
0.500 0.500 0.750 Y
0.000 0.393 0.750 P
0.000 0.607 0.250 P
```

## Properties
Crystal system: monoclinic
Magnetic moment, μB per formula unit: 0.0
Calculated volume, Å³ per atom: 19.3
Energy relative to the lowest polymorph listed for this composition, eV/atom: 0.000
Space-group type: No. 13
Total energy, eV/atom: -3.672